The following is a PBE calculation of a geometry-optimized Pu2GaGe3Pt4 structure, from the Alexandria database.

```
Pu2GaGe3Pt4
1.0
4.290 0.000 0.000
0.000 4.290 0.000
0.000 0.000 10.349
Pu Ga Ge Pt
2 1 3 4
direct
0.000 0.500 0.248
0.500 0.000 0.752
0.500 0.500 0.000
0.000 0.000 0.000
0.000 0.500 0.633
0.500 0.000 0.367
0.000 0.000 0.500
0.000 0.500 0.869
0.500 0.000 0.131
0.500 0.500 0.500
```

Properties
volume = 190 Å³ per cell
calculated total energy = -76.93 eV for the cell shown
E_form = -7.2 eV/f.u.

***

The following is a PBE calculation of a geometry-optimized AlNiTe2 structure, from the Alexandria database.

```
AlNiTe2
1.0
3.847 0.000 0.000
0.000 3.870 0.000
0.000 0.000 6.065
Al Ni Te
1 1 2
direct
0.000 0.000 0.000
0.500 0.000 0.500
0.000 0.500 0.500
0.500 0.500 0.000
```

Properties
energy relative to the elements, uncorrected = 308 meV/atom
volume = 90 Å³ per cell
calculated total energy = -14.58 eV for the cell shown

***

The following is a PBE calculation of a geometry-optimized Ac2SmAs3Pt12 structure, from the Alexandria database.

```
Ac2SmAs3Pt12
1.0
4.263 2.461 6.361
-4.263 2.461 6.361
0.000 -4.923 6.361
Ac Sm As Pt
2 1 3 12
direct
0.106 0.106 0.106
0.894 0.894 0.894
0.500 0.500 0.500
0.000 0.500 0.500
0.500 0.000 0.500
0.500 0.500 0.000
0.103 0.640 0.640
0.150 0.150 0.608
0.150 0.608 0.150
0.360 0.360 0.897
0.360 0.897 0.360
0.392 0.850 0.850
0.608 0.150 0.150
0.640 0.103 0.640
0.640 0.640 0.103
0.850 0.392 0.850
0.850 0.850 0.392
0.897 0.360 0.360
```

Properties
volume = 400 Å³ per cell
calculated total energy = -105.25 eV for the cell shown
E_form = -5.9 eV/f.u.

***

The following is a PBE calculation of a geometry-optimized LiGaSe structure, from the Alexandria database.

```
LiGaSe
1.0
0.000 5.812 6.241
3.606 0.000 6.241
3.606 5.812 0.000
Li Ga Se
4 4 4
direct
0.001 0.001 0.749
0.251 0.251 0.999
0.749 0.749 0.001
0.999 0.999 0.251
0.000 0.500 0.500
0.500 0.000 0.500
0.500 0.500 0.000
0.500 0.500 0.500
0.049 0.701 0.049
0.299 0.951 0.299
0.701 0.049 0.701
0.951 0.299 0.951
```

Properties
energy relative to the elements, uncorrected = -541 meV/atom
volume = 262 Å³ per cell
calculated total energy = -40.19 eV for the cell shown

***

The following is a PBE calculation of a geometry-optimized MnRh2Cl structure, from the Alexandria database.

```
MnRh2Cl
1.0
4.289 -1.448 0.000
4.289 1.448 0.000
-0.305 0.000 6.472
Mn Rh Cl
1 2 1
direct
0.000 0.000 0.000
0.277 0.277 0.794
0.544 0.544 0.672
0.531 0.531 0.289
```

Properties
energy relative to the elements, uncorrected = 157 meV/atom
volume = 80 Å³ per cell
calculated total energy = -25.09 eV for the cell shown

***

The following is a PBE calculation of a geometry-optimized LaTb3Sm6Tm2 structure, from the Alexandria database.

```
LaTb3Sm6Tm2
1.0
3.119 -5.400 0.000
3.119 5.400 0.000
-2.079 0.000 11.746
La Tb Sm Tm
1 3 6 2
direct
0.000 0.000 0.000
0.167 0.833 0.500
0.500 0.500 0.500
0.833 0.167 0.500
0.084 0.419 0.251
0.251 0.251 0.749
0.419 0.084 0.251
0.581 0.916 0.749
0.749 0.749 0.251
0.916 0.581 0.749
0.333 0.667 0.000
0.667 0.333 0.000
```

Properties
volume = 396 Å³ per cell
calculated total energy = -55.84 eV for the cell shown
E_form = 0.2 eV/f.u.

***

The following is a PBE calculation of a geometry-optimized LiAlHPd2 structure, from the Alexandria database.

```
LiAlHPd2
1.0
4.602 0.000 0.000
0.000 4.602 0.000
0.000 0.000 2.946
Li Al H Pd
1 1 1 2
direct
0.000 0.000 0.000
0.500 0.500 0.500
0.000 0.000 0.500
0.000 0.500 0.000
0.500 0.000 0.000
```

Properties
volume = 62 Å³ per cell
calculated total energy = -19.22 eV for the cell shown

***

The following is a PBE calculation of a geometry-optimized RbZn2SbF8 structure, from the Alexandria database.

```
RbZn2SbF8
1.0
2.677 1.545 8.702
-2.677 1.545 8.702
0.000 -3.091 8.702
Rb Zn Sb F
1 2 1 8
direct
0.000 0.000 0.000
0.252 0.252 0.252
0.748 0.748 0.748
0.500 0.500 0.500
0.123 0.456 0.759
0.241 0.544 0.877
0.323 0.323 0.323
0.456 0.759 0.123
0.544 0.877 0.241
0.677 0.677 0.677
0.759 0.123 0.456
0.877 0.241 0.544
```

Properties
energy relative to the elements, uncorrected = -2314 meV/atom
volume = 216 Å³ per cell
calculated total energy = -50.38 eV for the cell shown

***

The following is a PBE calculation of a geometry-optimized Ac2CeAs4Rh3 structure, from the Alexandria database.

```
Ac2CeAs4Rh3
1.0
4.445 0.000 0.000
0.000 4.445 0.000
0.000 0.000 11.167
Ac Ce As Rh
2 1 4 3
direct
0.000 0.500 0.221
0.500 0.000 0.779
0.000 0.000 0.500
0.000 0.000 0.000
0.000 0.500 0.667
0.500 0.000 0.333
0.500 0.500 0.000
0.000 0.500 0.896
0.500 0.000 0.104
0.500 0.500 0.500
```

Properties
volume = 221 Å³ per cell
calculated total energy = -64.36 eV for the cell shown
E_form = -9.6 eV/f.u.

***

The following is a PBE calculation of a geometry-optimized ScCoBr structure, from the Alexandria database.

```
ScCoBr
1.0
0.000 3.183 3.183
3.183 0.000 3.183
3.183 3.183 0.000
Sc Co Br
1 1 1
direct
0.000 0.000 0.000
0.750 0.750 0.750
0.250 0.250 0.250
```

Properties
energy relative to the elements, uncorrected = 180 meV/atom
volume = 64 Å³ per cell
calculated total energy = -14.57 eV for the cell shown

***

The following is a PBE calculation of a geometry-optimized K2ReIr structure, from the Alexandria database.

```
K2ReIr
1.0
4.550 0.000 0.000
0.000 4.550 0.000
0.000 0.000 5.107
K Re Ir
2 1 1
direct
0.000 0.000 0.247
0.000 0.000 0.753
0.500 0.500 0.500
0.500 0.500 0.000
```

Properties
volume = 106 Å³ per cell
calculated total energy = -16.91 eV for the cell shown
E_form = 6.6 eV/f.u.

***

The following is a PBE calculation of a geometry-optimized SrTe2Rh structure, from the Alexandria database.

```
SrTe2Rh
1.0
-2.020 3.081 4.560
2.020 -3.081 4.560
2.020 3.081 -4.560
Sr Te Rh
1 2 1
direct
0.000 0.000 0.000
0.315 0.815 0.500
0.685 0.185 0.500
0.500 0.500 0.000
```

Properties
energy relative to the elements, uncorrected = -713 meV/atom
volume = 114 Å³ per cell
calculated total energy = -18.17 eV for the cell shown

***

The following is a PBE calculation of a geometry-optimized DyAl2Ru structure, from the Alexandria database.

```
DyAl2Ru
1.0
2.119 1.223 5.031
-2.119 1.223 5.031
0.000 -2.447 5.031
Dy Al Ru
1 2 1
direct
0.000 0.000 0.000
0.208 0.208 0.208
0.792 0.792 0.792
0.500 0.500 0.500
```

Properties
volume = 78 Å³ per cell
calculated total energy = -23.38 eV for the cell shown
E_form = -2.0 eV/f.u.

***

The following is a PBE calculation of a geometry-optimized Pu2Mg2Co15 structure, from the Alexandria database.

```
Pu2Mg2Co15
1.0
4.198 2.424 4.071
-4.198 2.424 4.071
0.000 -4.847 4.071
Pu Mg Co
2 2 15
direct
0.147 0.147 0.147
0.853 0.853 0.853
0.395 0.395 0.395
0.605 0.605 0.605
0.000 0.500 0.500
0.147 0.147 0.657
0.147 0.657 0.147
0.203 0.500 0.797
0.203 0.797 0.500
0.343 0.853 0.853
0.500 0.000 0.500
0.500 0.203 0.797
0.500 0.500 0.000
0.500 0.797 0.203
0.657 0.147 0.147
0.797 0.203 0.500
0.797 0.500 0.203
0.853 0.343 0.853
0.853 0.853 0.343
```

Properties
volume = 249 Å³ per cell
calculated total energy = -139.00 eV for the cell shown
E_form = -0.6 eV/f.u.

***

The following is a PBE calculation of a geometry-optimized VNiGe2Pd structure, from the Alexandria database.

```
VNiGe2Pd
1.0
4.664 0.000 0.000
0.000 4.664 0.000
0.000 0.000 4.609
V Ni Ge Pd
1 1 2 1
direct
0.000 0.000 0.000
0.500 0.500 0.500
0.000 0.500 0.000
0.500 0.000 0.000
0.000 0.000 0.500
```

Properties
volume = 100 Å³ per cell
calculated total energy = -24.98 eV for the cell shown
E_form = 4.3 eV/f.u.

***

The following is a PBE calculation of a geometry-optimized Er2PaSe structure, from the Alexandria database.

```
Er2PaSe
1.0
1.738 1.003 10.349
-1.738 1.003 10.349
0.000 -2.006 10.349
Er Pa Se
2 1 1
direct
0.104 0.104 0.104
0.896 0.896 0.896
0.000 0.000 0.000
0.500 0.500 0.500
```

Properties
energy relative to the elements, uncorrected = -303 meV/atom
volume = 108 Å³ per cell
calculated total energy = -23.32 eV for the cell shown

***

The following is a PBE calculation of a geometry-optimized Cu2NiAu4 structure, from the Alexandria database.

```
Cu2NiAu4
1.0
-3.851 3.851 3.844
3.851 -3.851 3.844
3.851 3.851 -3.844
Cu Ni Au
4 2 8
direct
0.375 0.001 0.126
0.751 0.625 0.626
0.875 0.249 0.874
0.999 0.125 0.374
0.250 0.750 0.500
0.500 0.500 0.000
0.127 0.036 0.750
0.127 0.535 0.750
0.285 0.377 0.250
0.465 0.214 0.592
0.623 0.873 0.408
0.623 0.873 0.908
0.786 0.377 0.250
0.964 0.715 0.092
```

Properties
volume = 228 Å³ per cell
calculated total energy = -52.16 eV for the cell shown
E_form = 1.0 eV/f.u.

***

The following is a PBE calculation of a geometry-optimized ReIO2 structure, from the Alexandria database.

```
ReIO2
1.0
0.000 4.292 4.292
4.292 0.000 4.292
4.292 4.292 0.000
Re I O
2 2 4
direct
0.125 0.125 0.125
0.875 0.875 0.875
0.375 0.375 0.375
0.625 0.625 0.625
0.000 0.000 0.000
0.000 0.000 0.500
0.000 0.500 0.000
0.500 0.000 0.000
```

Properties
energy relative to the elements, uncorrected = -633 meV/atom
volume = 158 Å³ per cell
calculated total energy = -52.89 eV for the cell shown

***

The following is a PBE calculation of a geometry-optimized CdHgGePb structure, from the Alexandria database.

```
CdHgGePb
1.0
0.000 3.693 3.693
3.693 0.000 3.693
3.693 3.693 0.000
Cd Hg Ge Pb
1 1 1 1
direct
0.000 0.000 0.000
0.750 0.750 0.750
0.250 0.250 0.250
0.500 0.500 0.500
```

Properties
volume = 101 Å³ per cell
calculated total energy = -8.97 eV for the cell shown
E_form = 0.6 eV/f.u.

***

The following is a PBE calculation of a geometry-optimized Sr2MgPtN structure, from the Alexandria database.

```
Sr2MgPtN
1.0
5.244 0.000 0.000
0.000 5.244 0.000
0.000 0.000 4.114
Sr Mg Pt N
2 1 1 1
direct
0.000 0.500 0.000
0.500 0.000 0.000
0.000 0.000 0.500
0.500 0.500 0.500
0.000 0.000 0.000
```

Properties
energy relative to the elements, uncorrected = -588 meV/atom
volume = 113 Å³ per cell
calculated total energy = -22.26 eV for the cell shown

***

The following is a PBE calculation of a geometry-optimized MgAl2Os structure, from the Alexandria database.

```
MgAl2Os
1.0
2.738 -4.345 0.000
2.738 4.345 0.000
-1.082 0.000 2.602
Mg Al Os
1 2 1
direct
0.000 0.000 0.000
0.000 0.500 0.500
0.500 0.000 0.500
0.500 0.500 0.000
```

Properties
volume = 62 Å³ per cell
calculated total energy = -20.14 eV for the cell shown
E_form = 0.2 eV/f.u.

***

The following is a PBE calculation of a geometry-optimized Li2PuNi9 structure, from the Alexandria database.

```
Li2PuNi9
1.0
2.408 1.390 7.820
-2.408 1.390 7.820
0.000 -2.781 7.820
Li Pu Ni
2 1 9
direct
0.146 0.146 0.146
0.854 0.854 0.854
0.000 0.000 0.000
0.083 0.586 0.586
0.334 0.334 0.334
0.414 0.414 0.917
0.414 0.917 0.414
0.500 0.500 0.500
0.586 0.083 0.586
0.586 0.586 0.083
0.666 0.666 0.666
0.917 0.414 0.414
```

Properties
volume = 157 Å³ per cell
calculated total energy = -71.26 eV for the cell shown
E_form = -1.1 eV/f.u.

***

The following is a PBE calculation of a geometry-optimized Cr2NiAu structure, from the Alexandria database.

```
Cr2NiAu
1.0
4.393 -1.402 0.000
4.393 1.402 0.000
-0.882 0.000 4.358
Cr Ni Au
2 1 1
direct
0.244 0.244 0.186
0.756 0.756 0.814
0.500 0.500 0.000
0.000 0.000 0.500
```

Properties
volume = 54 Å³ per cell
calculated total energy = -27.25 eV for the cell shown
E_form = 1.1 eV/f.u.

***

The following is a PBE calculation of a geometry-optimized Nd2As4RuPt3 structure, from the Alexandria database.

```
Nd2As4RuPt3
1.0
4.296 0.000 0.000
0.000 4.296 0.000
0.000 0.000 10.472
Nd As Ru Pt
2 4 1 3
direct
0.000 0.500 0.245
0.500 0.000 0.755
0.000 0.000 0.500
0.000 0.500 0.867
0.500 0.000 0.133
0.500 0.500 0.500
0.500 0.500 0.000
0.000 0.000 0.000
0.000 0.500 0.632
0.500 0.000 0.368
```

Properties
volume = 193 Å³ per cell
calculated total energy = -63.74 eV for the cell shown
E_form = -8.2 eV/f.u.

***

The following is a PBE calculation of a geometry-optimized Li2BiPb structure, from the Alexandria database.

```
Li2BiPb
1.0
2.375 1.371 5.402
-2.375 1.371 5.402
0.000 -2.743 5.402
Li Bi Pb
2 1 1
direct
0.000 0.000 0.000
0.218 0.218 0.218
0.624 0.624 0.624
0.425 0.425 0.425
```

Properties
volume = 106 Å³ per cell
calculated total energy = -12.31 eV for the cell shown
E_form = -0.9 eV/f.u.